Compound: LuHRu
Source: the Alexandria database
Functional: PBE
Structure: relaxed

Unit cell a=4.249 b=3.347 c=3.347 alpha=120.00 beta=90.00 gamma=90.00
Positions (direct):
1 H 0.169 0.667 0.333
2 Ru 0.166 0.000 0.000
3 Lu 0.665 0.333 0.667

The value obtained for the total magnetization is 0.0 Bohr magnetons per cell. The crystal system is trigonal. The calculation puts the calculated volume at 41.21 Å³/f.u. Its total energy is -5.907 eV per atom. The space group is P3m1.

=====

Compound: YEr3Te
Source: the Alexandria database
Functional: PBE
Structure: relaxed

Unit cell a=8.846 b=8.812 c=9.848 alpha=128.54 beta=90.00 gamma=90.00
Positions (direct):
1 Te 0.712 0.116 0.023
2 Te 0.288 0.884 0.977
3 Te 0.788 0.116 0.523
4 Te 0.212 0.884 0.477
5 Er 0.877 0.907 0.677
6 Er 0.558 0.761 0.420
7 Er 0.942 0.761 0.920
8 Er 0.058 0.239 0.080
9 Er 0.676 0.401 0.934
10 Er 0.324 0.599 0.066
11 Er 0.377 0.093 0.823
12 Er 0.824 0.401 0.434
13 Er 0.623 0.907 0.177
14 Er 0.442 0.239 0.580
15 Er 0.176 0.599 0.566
16 Er 0.123 0.093 0.323
17 Y 0.063 0.318 0.770
18 Y 0.437 0.318 0.270
19 Y 0.563 0.682 0.730
20 Y 0.937 0.682 0.230

The value obtained for the total magnetization is 0.0 Bohr magnetons per cell. The crystal system is monoclinic. The calculation puts the calculated volume at 150.11 Å³/f.u. The calculation puts the energy above the most stable polymorph in this dataset at 0.0000 eV/atom. The space group is P2_1/c. As for the energy relative to the elements, uncorrected: -0.375 eV per atom.

=====

Compound: TcBS2
Source: the Alexandria database
Functional: PBE
Structure: relaxed

Unit cell a=6.781 b=6.781 c=6.781 alpha=27.76 beta=27.76 gamma=27.76
Positions (direct):
1 B 0.000 0.000 0.000
2 Tc 0.500 0.500 0.500
3 S 0.912 0.912 0.912
4 S 0.088 0.088 0.088

The value obtained for the total magnetization is 0.0 Bohr magnetons per cell. The crystal system is trigonal. The calculation puts the calculated volume at 59.75 Å³/f.u. The space group is R-3m. As for the energy relative to the elements, uncorrected: 0.303 eV per atom.

=====

Compound: AlV2Fe3
Source: the Alexandria database
Functional: PBE
Structure: relaxed

Unit cell a=2.866 b=2.866 c=8.579 alpha=90.00 beta=90.00 gamma=90.00
Each line ends with the local moment (μB).
Positions (direct):
1 Fe 0.000 0.000 0.326  0.06
2 Fe 0.000 0.000 0.000  1.03
3 Fe 0.000 0.000 0.674  0.06
4 Al 0.500 0.500 0.500  0.00
5 V 0.500 0.500 0.169  -0.09
6 V 0.500 0.500 0.831  -0.09

The value obtained for the total magnetization is 0.9 Bohr magnetons per cell. The crystal system is tetragonal. The calculation puts the calculated volume at 70.45 Å³/f.u. The calculation puts the energy above the most stable polymorph in this dataset at 0.0000 eV/atom. The space group is P4/mmm. For the formation energy, the calculation gives -28.6 kJ per mole of atoms.

=====

Compound: Rb2CdInPb6
Source: the Alexandria database
Functional: PBE
Structure: relaxed

Unit cell a=7.139 b=7.139 c=19.943 alpha=79.69 beta=79.69 gamma=60.00
Positions (direct):
1 Rb 0.884 0.884 0.349
2 Rb 0.316 0.316 0.053
3 Rb 0.684 0.684 0.947
4 Rb 0.116 0.116 0.651
5 Pb 0.055 0.599 0.747
6 Pb 0.945 0.401 0.253
7 Pb 0.705 0.213 0.869
8 Pb 0.401 0.401 0.253
9 Pb 0.599 0.055 0.747
10 Pb 0.787 0.787 0.131
11 Pb 0.599 0.599 0.747
12 Pb 0.787 0.295 0.131
13 Pb 0.295 0.787 0.131
14 Pb 0.213 0.705 0.869
15 Pb 0.213 0.213 0.869
16 Pb 0.401 0.945 0.253
17 Cd 0.453 0.453 0.641
18 Cd 0.547 0.547 0.359
19 In 0.000 0.000 0.000
20 In 0.500 0.500 0.500

The value obtained for the total magnetization is 0.0 Bohr magnetons per cell. The crystal system is trigonal. The calculation puts the calculated volume at 430.61 Å³/f.u. The space group is R-3m. For the formation energy, the calculation gives 1.6 kJ per mole of atoms.

=====

Compound: YMo2Pt
Source: the Alexandria database
Functional: PBE
Structure: relaxed

Unit cell a=2.854 b=4.176 c=6.280 alpha=90.00 beta=90.00 gamma=90.00
Positions (direct):
1 Pt 0.500 0.500 0.250
2 Y 0.500 0.500 0.750
3 Mo 0.000 0.000 0.049
4 Mo 0.000 0.000 0.451

The value obtained for the total magnetization is 0.0 Bohr magnetons per cell. The crystal system is orthorhombic. The calculation puts the calculated volume at 74.83 Å³/f.u. The calculation puts the energy above the most stable polymorph in this dataset at 0.4041 eV/atom. The space group is Pmmm. For the formation energy, the calculation gives 25.8 kJ per mole of atoms.

=====

Compound: Ce6Sn3Au
Source: the Alexandria database
Functional: PBE
Structure: relaxed

Unit cell a=5.841 b=8.709 c=10.777 alpha=90.00 beta=88.14 gamma=90.00
Each line ends with the local moment (μB).
Positions (direct):
1 Au 0.500 0.500 0.500  0.01
2 Au 0.000 0.000 0.000  0.01
3 Ce 0.486 0.852 0.438  0.65
4 Ce 0.986 0.648 0.938  0.65
5 Ce 0.514 0.148 0.562  0.65
6 Ce 0.021 0.360 0.438  0.65
7 Ce 0.014 0.352 0.062  0.65
8 Ce 0.198 0.065 0.755  0.59
9 Ce 0.521 0.140 0.938  0.65
10 Ce 0.979 0.640 0.562  0.65
11 Ce 0.802 0.935 0.245  0.59
12 Ce 0.302 0.565 0.745  0.59
13 Ce 0.479 0.860 0.062  0.65
14 Ce 0.698 0.435 0.255  0.59
15 Sn 0.830 0.364 0.754  -0.01
16 Sn 0.000 0.000 0.500  -0.01
17 Sn 0.170 0.636 0.246  -0.01
18 Sn 0.330 0.136 0.254  -0.01
19 Sn 0.500 0.500 0.000  -0.01
20 Sn 0.670 0.864 0.746  -0.01

The value obtained for the total magnetization is 8.7 Bohr magnetons per cell. The crystal system is monoclinic. The calculation puts the calculated volume at 273.92 Å³/f.u. The space group is P2_1/c. For the formation energy, the calculation gives -38.4 kJ per mole of atoms.

=====

Compound: Ni2PbBr
Source: the Alexandria database
Functional: PBE
Structure: relaxed

Unit cell a=3.357 b=3.698 c=6.335 alpha=89.94 beta=90.00 gamma=90.00
Positions (direct):
1 Ni 0.000 0.751 0.057
2 Ni 0.000 0.749 0.443
3 Pb 0.500 0.250 0.250
4 Br 0.500 0.750 0.750

The value obtained for the total magnetization is 0.0 Bohr magnetons per cell. The crystal system is orthorhombic. The calculation puts the calculated volume at 78.64 Å³/f.u. The calculation puts the energy above the most stable polymorph in this dataset at 0.1117 eV/atom. The space group is Pmmm. As for the energy relative to the elements, uncorrected: 0.189 eV per atom.

=====

Compound: LaBNO2
Source: the Alexandria database
Functional: PBE
Structure: relaxed

Unit cell a=3.964 b=3.964 c=3.166 alpha=90.00 beta=90.00 gamma=90.00
Each line ends with the local moment (μB).
Positions (direct):
1 La 0.500 0.500 0.500  0.00
2 B 0.000 0.000 0.000  -0.04
3 N 0.000 0.000 0.500  0.46
4 O 0.000 0.500 0.000  0.17
5 O 0.500 0.000 0.000  0.17

The value obtained for the total magnetization is 1.0 Bohr magnetons per cell. The crystal system is tetragonal. The calculation puts the calculated volume at 49.75 Å³/f.u. The space group is P4/mmm. As for the energy relative to the elements, uncorrected: -1.347 eV per atom.

=====

Compound: Th4B3Rh12Se
Source: the Alexandria database
Functional: PBE
Structure: relaxed

Unit cell a=7.579 b=7.579 c=7.579 alpha=109.47 beta=109.47 gamma=109.47
Positions (direct):
1 Th 0.000 0.000 0.500
2 Th 0.500 0.000 0.000
3 Th 0.500 0.500 0.500
4 Th 0.000 0.500 0.000
5 Rh 0.750 0.500 0.250
6 Rh 0.250 0.500 0.750
7 Rh 0.500 0.750 0.250
8 Rh 0.273 0.000 0.273
9 Rh 0.750 0.250 0.500
10 Rh 0.250 0.750 0.500
11 Rh 0.000 0.727 0.727
12 Rh 0.000 0.273 0.273
13 Rh 0.273 0.273 0.000
14 Rh 0.500 0.250 0.750
15 Rh 0.727 0.727 0.000
16 Rh 0.727 0.000 0.727
17 B 0.000 0.500 0.500
18 B 0.500 0.500 0.000
19 B 0.500 0.000 0.500
20 Se 0.000 0.000 0.000

The value obtained for the total magnetization is 0.0 Bohr magnetons per cell. The crystal system is cubic. The calculation puts the calculated volume at 335.14 Å³/f.u. The space group is Im-3m. As for the energy relative to the elements, uncorrected: -0.725 eV per atom.

=====

Compound: BaGaCu3Se4
Source: the Alexandria database
Functional: PBE
Structure: relaxed

Unit cell a=6.233 b=6.233 c=6.233 alpha=90.00 beta=90.00 gamma=90.00
Positions (direct):
1 Se 0.220 0.220 0.220
2 Se 0.780 0.780 0.220
3 Se 0.220 0.780 0.780
4 Se 0.780 0.220 0.780
5 Cu 0.000 0.500 0.000
6 Cu 0.500 0.000 0.000
7 Cu 0.000 0.000 0.500
8 Ga 0.000 0.000 0.000
9 Ba 0.500 0.500 0.500

The value obtained for the total magnetization is 0.0 Bohr magnetons per cell. The crystal system is cubic. The calculation puts the calculated volume at 242.19 Å³/f.u. The space group is P-43m. As for the energy relative to the elements, uncorrected: -0.497 eV per atom.

=====

Compound: Na3ZnRu
Source: the Alexandria database
Functional: PBE
Structure: relaxed

Unit cell a=5.600 b=5.600 c=5.600 alpha=90.00 beta=90.00 gamma=90.00
Each line ends with the local moment (μB).
Positions (direct):
1 Ru 0.000 0.000 0.000  1.52
2 Na 0.000 0.500 0.000  -0.01
3 Na 0.500 0.000 0.000  -0.02
4 Na 0.000 0.000 0.500  -0.01
5 Zn 0.500 0.500 0.500  -0.02

The value obtained for the total magnetization is 1.3 Bohr magnetons per cell. The crystal system is cubic. The calculation puts the calculated volume at 175.64 Å³/f.u. The calculation puts the energy above the most stable polymorph in this dataset at 0.0000 eV/atom. The space group is Pm-3m. For the formation energy, the calculation gives 100.8 kJ per mole of atoms.

=====

Compound: TbNdCo4
Source: the Alexandria database
Functional: PBE
Structure: relaxed

Unit cell a=5.128 b=5.128 c=5.127 alpha=59.99 beta=120.01 gamma=120.00
Each line ends with the local moment (μB).
Positions (direct):
1 Co 0.001 0.501 0.000  1.13
2 Co 0.500 0.500 0.499  1.13
3 Co 0.499 0.501 0.000  1.13
4 Co 0.499 0.999 0.000  1.13
5 Tb 0.125 0.875 0.375  -0.32
6 Nd 0.875 0.125 0.625  -0.20

The value obtained for the total magnetization is 3.8 Bohr magnetons per cell. The crystal system is cubic. The calculation puts the calculated volume at 95.32 Å³/f.u. The calculation puts the energy above the most stable polymorph in this dataset at 0.0404 eV/atom. The space group is F-43m. For the formation energy, the calculation gives -9.6 kJ per mole of atoms.

=====

Compound: TbNdSm2N4
Source: the Alexandria database
Functional: PBE
Structure: relaxed

Unit cell a=3.584 b=6.205 c=6.203 alpha=109.42 beta=90.00 gamma=90.00
Positions (direct):
1 Nd 0.000 0.000 0.000
2 Sm 0.000 0.500 0.500
3 Sm 0.500 0.000 0.500
4 N 0.500 0.255 0.251
5 N 0.500 0.745 0.749
6 N 0.000 0.745 0.248
7 N 0.000 0.255 0.752
8 Tb 0.500 0.500 0.000

The value obtained for the total magnetization is 0.0 Bohr magnetons per cell. The crystal system is monoclinic. The calculation puts the calculated volume at 130.11 Å³/f.u. The space group is P2/m. As for the energy relative to the elements, uncorrected: -1.486 eV per atom.

=====

Compound: TlHg3
Source: the Alexandria database
Functional: PBE
Structure: relaxed

Unit cell a=3.734 b=5.484 c=6.440 alpha=115.20 beta=106.85 gamma=90.00
Positions (direct):
1 Tl 0.500 0.119 0.000
2 Hg 0.744 0.790 0.487
3 Hg 0.256 0.303 0.513
4 Hg 0.000 0.621 0.000

The value obtained for the total magnetization is 0.0 Bohr magnetons per cell. The crystal system is orthorhombic. The calculation puts the calculated volume at 113.05 Å³/f.u. The space group is Imm2. For the formation energy, the calculation gives -1.5 kJ per mole of atoms.